Record 1
VASP calculation (PBE-GGA) on crystalline Sm3CI3 at its relaxed geometry.

* total magnetization: 0.000 μB/atom
* energy: -5.02 eV/atom
* DOS(E_F): 0.270 states/eV/atom
* ρ: 6.518 g/cm³

a b c (Å): 3.9869 8.9004 12.1245
angles (deg): 92.25 90.00 90.00
Atoms (fractional coordinates):
Sm (0.2500, 0.2963, 0.6148)
Sm (0.7500, 0.7037, 0.3852)
Sm (0.2500, 0.9160, 0.6007)
Sm (0.7500, 0.0840, 0.3993)
Sm (0.2500, 0.8879, 0.1842)
Sm (0.7500, 0.1121, 0.8158)
C (0.2500, 0.8823, 0.3857)
C (0.7500, 0.1177, 0.6143)
I (0.2500, 0.3831, 0.3661)
I (0.7500, 0.6169, 0.6339)
I (0.2500, 0.8556, 0.8735)
I (0.7500, 0.1444, 0.1265)
I (0.2500, 0.3763, 0.8708)
I (0.7500, 0.6237, 0.1292)



Record 2
VASP calculation (PBE-GGA) on crystalline TbSm2C2I2 at its relaxed geometry.

* total magnetization: 0.000 μB/atom
* energy: -5.54 eV/atom
* DOS(E_F): 0.282 states/eV/atom
* ρ: 6.128 g/cm³

a b c (Å): 4.5076 4.5076 10.3386
angles (deg): 102.59 102.59 90.00
Atoms (fractional coordinates):
Tb (0.0000, 0.0000, 0.0000)
Sm (0.4218, 0.4218, 0.8436)
Sm (0.5782, 0.5782, 0.1564)
C (0.0000, 0.5000, 0.0000)
C (0.5000, 0.0000, 0.0000)
I (0.1641, 0.1641, 0.3282)
I (0.8359, 0.8359, 0.6718)



Record 3
VASP calculation (PBE-GGA) on crystalline Sm4Te2CI at its relaxed geometry.

* total magnetization: 0.000 μB/atom
* energy: -5.43 eV/atom
* DOS(E_F): 0.406 states/eV/atom
* ρ: 7.333 g/cm³

a b c (Å): 4.1303 7.4400 7.7290
angles (deg): 71.65 90.00 90.00
Atoms (fractional coordinates):
Sm (0.0000, 0.7139, 0.6989)
Sm (0.0000, 0.2861, 0.3011)
Sm (0.5000, 0.7000, 0.3063)
Sm (0.5000, 0.3000, 0.6937)
Te (0.0000, 0.0000, 0.0000)
Te (0.5000, 0.0000, 0.5000)
C (0.0000, 0.5000, 0.5000)
I (0.5000, 0.5000, 0.0000)



Record 4
VASP calculation (PBE-GGA) on crystalline Sm4TeCI2 at its relaxed geometry.

* total magnetization: 0.000 μB/atom
* energy: -5.21 eV/atom
* DOS(E_F): 0.282 states/eV/atom
* ρ: 7.086 g/cm³

a b c (Å): 4.0431 7.6239 7.9151
angles (deg): 107.14 90.00 90.00
Atoms (fractional coordinates):
Sm (0.5000, 0.2965, 0.1908)
Sm (0.5000, 0.7035, 0.8092)
Sm (0.0000, 0.3156, 0.8209)
Sm (0.0000, 0.6844, 0.1791)
Te (0.0000, 0.0000, 0.0000)
C (0.5000, 0.5000, 0.0000)
I (0.5000, 0.0000, 0.5000)
I (0.0000, 0.5000, 0.5000)